HgMoAu2 | GGA-PBE | optimized geometry

Cell: 2.8516 4.1263 6.1964 Å, 90.00 90.00 90.00°
Positions (direct):
Hg1 0.0000 0.0000 0.0000
Mo1 0.5000 0.5000 0.2624
Au1 0.0000 0.0000 0.4784
Au2 0.5000 0.5000 0.7362

Values from the calculation:
* space-group type: Pmm2 (25)
* volume: 73 Å³ per cell
* raw total energy: -4.0480 eV per atom
* energy of formation: 0.374 eV per atom